[1]
# Pa2TlNi2S6 PBE-GGA relaxed
# - ΔE_f (raw) (meV/atom) = -1029
# - symmetry = No. 2
data_Pa2TlNi2S6
_cell_length_a 7.0189
_cell_length_b 7.1289
_cell_length_c 7.6032
_cell_angle_alpha 121.33
_cell_angle_beta 91.53
_cell_angle_gamma 60.54
_symmetry_space_group_name_H-M 'P 1'
_symmetry_Int_Tables_number 1
loop_
_symmetry_equiv_pos_as_xyz
'x,y,z'
loop_
_atom_site_label
_atom_site_fract_x
_atom_site_fract_y
_atom_site_fract_z
_atom_site_occupancy
Pa1 0.1677 0.6674 0.1730 1
Pa2 0.8323 0.3326 0.8270 1
S1 0.8039 0.1807 0.4261 1
S2 0.5904 0.2083 0.9602 1
S3 0.1961 0.8193 0.5739 1
S4 0.9662 0.4355 0.1790 1
S5 0.4096 0.7917 0.0398 1
S6 0.0338 0.5645 0.8210 1
Tl1 0.5000 0.0000 0.5000 1
Ni1 0.1811 0.7787 0.8369 1
Ni2 0.8189 0.2213 0.1631 1



[2]
# Pa2Tl3NiS6 PBE-GGA relaxed
# - ΔE_f (raw) (meV/atom) = -911
# - symmetry = No. 12
data_Pa2Tl3NiS6
_cell_length_a 7.0696
_cell_length_b 7.0696
_cell_length_c 7.8932
_cell_angle_alpha 97.58
_cell_angle_beta 97.58
_cell_angle_gamma 125.14
_symmetry_space_group_name_H-M 'P 1'
_symmetry_Int_Tables_number 1
loop_
_symmetry_equiv_pos_as_xyz
'x,y,z'
loop_
_atom_site_label
_atom_site_fract_x
_atom_site_fract_y
_atom_site_fract_z
_atom_site_occupancy
S1 0.0617 0.4463 0.2117 1
S2 0.9383 0.5537 0.7883 1
S3 0.2363 0.2363 0.8469 1
S4 0.5537 0.9383 0.7883 1
S5 0.4463 0.0617 0.2117 1
S6 0.7637 0.7637 0.1531 1
Tl1 0.1469 0.8531 0.5000 1
Tl2 0.8531 0.1469 0.5000 1
Tl3 0.5000 0.5000 0.5000 1
Pa1 0.6613 0.3387 0.0000 1
Pa2 0.3387 0.6613 0.0000 1
Ni1 0.0000 0.0000 0.0000 1



[3]
# UPa2NiS5 PBE-GGA relaxed
# - ΔE_f (raw) (meV/atom) = -1392
# - symmetry = No. 36
data_UPa2NiS5
_cell_length_a 3.7162
_cell_length_b 8.2560
_cell_length_c 11.7040
_cell_angle_alpha 90.00
_cell_angle_beta 90.00
_cell_angle_gamma 103.01
_symmetry_space_group_name_H-M 'P 1'
_symmetry_Int_Tables_number 1
loop_
_symmetry_equiv_pos_as_xyz
'x,y,z'
loop_
_atom_site_label
_atom_site_fract_x
_atom_site_fract_y
_atom_site_fract_z
_atom_site_occupancy
S1 0.3469 0.6937 0.0222 1
S2 0.4918 0.9836 0.7463 1
S3 0.5082 0.0164 0.2463 1
S4 0.3019 0.6039 0.6960 1
S5 0.3180 0.6360 0.3593 1
S6 0.0120 0.0241 0.0117 1
S7 0.9880 0.9759 0.5117 1
S8 0.6981 0.3961 0.1960 1
S9 0.6531 0.3063 0.5222 1
S10 0.6820 0.3640 0.8593 1
Pa1 0.8872 0.7743 0.8502 1
Pa2 0.1128 0.2257 0.3502 1
Pa3 0.8827 0.7654 0.1963 1
Pa4 0.1173 0.2346 0.6963 1
Ni1 0.5495 0.0990 0.9146 1
Ni2 0.4505 0.9010 0.4146 1
U1 0.8213 0.6426 0.5274 1
U2 0.1787 0.3574 0.0274 1



[4]
# U2PaNi2S6 PBE-GGA relaxed
# - ΔE_f (raw) (meV/atom) = -999
# - symmetry = No. 162
data_U2PaNi2S6
_cell_length_a 6.4962
_cell_length_b 6.4962
_cell_length_c 5.9734
_cell_angle_alpha 90.00
_cell_angle_beta 90.00
_cell_angle_gamma 120.00
_symmetry_space_group_name_H-M 'P 1'
_symmetry_Int_Tables_number 1
loop_
_symmetry_equiv_pos_as_xyz
'x,y,z'
loop_
_atom_site_label
_atom_site_fract_x
_atom_site_fract_y
_atom_site_fract_z
_atom_site_occupancy
S1 0.6589 0.6589 0.2748 1
S2 0.6589 0.0000 0.7252 1
S3 0.3411 0.0000 0.2748 1
S4 0.0000 0.3411 0.2748 1
S5 0.0000 0.6589 0.7252 1
S6 0.3411 0.3411 0.7252 1
Ni1 0.6667 0.3333 0.4997 1
Ni2 0.3333 0.6667 0.5003 1
U1 0.6667 0.3333 0.0000 1
U2 0.3333 0.6667 0.0000 1
Pa1 0.0000 0.0000 0.0000 1